DFT (GGA-PBEsol) results for a relaxed LiCS2 crystal.

Properties
Its formation energy from raw total energies is 0.083 eV/atom. As for the density of states at the Fermi level: 0.55 states/eV per atom.

Cell: 3.752 3.752 6.227 Å, 72.47 72.47 60.00°
Fractional positions:
S (0.909, 0.909, 0.272)
S (0.091, 0.091, 0.728)
C (0.000, 0.000, 0.000)
Li (0.500, 0.500, 0.500)

***

DFT (GGA-PBEsol) results for a relaxed LiSb3C crystal.

Properties
Its formation energy from raw total energies is 0.758 eV/atom. As for the density of states at the Fermi level: 1.03 states/eV per atom.

Cell: 4.768 4.768 4.768 Å, 90.00 90.00 90.00°
Fractional positions:
Sb (0.000, 0.500, 0.000)
Sb (0.000, 0.000, 0.500)
Sb (0.500, 0.000, 0.000)
C (0.000, 0.000, 0.000)
Li (0.500, 0.500, 0.500)

***

DFT (GGA-PBEsol) results for a relaxed LiScC crystal.

Properties
As for the total energy: -19.1 eV per cell.

Cell: 3.727 3.727 3.727 Å, 60.00 60.00 60.00°
Fractional positions:
Sc (0.500, 0.500, 0.500)
C (0.750, 0.750, 0.750)
Li (0.000, 0.000, 0.000)

***

DFT (GGA-PBEsol) results for a relaxed Li2ScC2 crystal.

Properties
As for the total energy: -59.0 eV per cell. As for the density of states at the Fermi level: 0.40 states/eV per atom.

Cell: 3.768 5.529 5.529 Å, 90.00 90.00 90.00°
Fractional positions:
Sc (0.000, 0.000, 0.000)
Sc (0.000, 0.500, 0.500)
C (0.000, 0.413, 0.913)
C (0.000, 0.913, 0.587)
C (0.000, 0.587, 0.087)
C (0.000, 0.087, 0.413)
Li (0.500, 0.152, 0.652)
Li (0.500, 0.652, 0.848)
Li (0.500, 0.848, 0.348)
Li (0.500, 0.348, 0.152)